The following is a GGA-PBE calculation of a relaxed structure of TbThMgRe, from Alexandria via LeMat-Bulk.

Output
magnetic moment: 0.000 μB per atom
formation energy from the elements: 106 meV/atom
raw total energy: -6.417 eV/atom

abc: 5.1270 5.1270 5.1270
angles: 60.00 60.00 60.00
Closest atoms and distances in Å follow each position.
Sites, in units of the cell vectors:
Tb 0.0000 0.0000 0.0000  4 Re 3.14, 4 Mg 3.14
Th 0.5000 0.5000 0.5000  4 Re 3.14, 4 Mg 3.14
Mg 0.2500 0.2500 0.2500  4 Th 3.14, 4 Tb 3.14
Re 0.7500 0.7500 0.7500  4 Th 3.14, 4 Tb 3.14